[1]
The following is a GGA-PBE calculation of an optimized crystal structure of SrThIn6, from Alexandria.

CIF file:
```
data_SrThIn6
_chemical_formula_sum 'Sr1 Th1 In6'
_cell_length_a 4.785
_cell_length_b 4.785
_cell_length_c 9.610
_cell_angle_alpha 90.00
_cell_angle_beta 90.00
_cell_angle_gamma 90.00
_symmetry_space_group_name_H-M 'P 1'
_symmetry_Int_Tables_number 1
_symmetry_space_group_name_Hall 'P 1'
loop_
_atom_site_label
_atom_site_fract_x
_atom_site_fract_y
_atom_site_fract_z
_atom_site_occupancy
Sr1 0.000 0.000 0.000 1
In1 0.500 0.000 0.253 1
In2 0.000 0.500 0.747 1
In3 0.500 0.500 0.000 1
In4 0.500 0.500 0.500 1
In5 0.000 0.500 0.253 1
In6 0.500 0.000 0.747 1
Th1 0.000 0.000 0.500 1
```

Results
Its space-group type is No. 123. For the formation energy, the calculation gives -323 meV per atom.



[2]
The following is a GGA-PBE calculation of an optimized crystal structure of Hf3BeRh2, from Alexandria.

CIF file:
```
data_Hf3BeRh2
_chemical_formula_sum 'Hf12 Be4 Rh8'
_cell_length_a 4.250
_cell_length_b 9.032
_cell_length_c 10.813
_cell_angle_alpha 90.00
_cell_angle_beta 90.00
_cell_angle_gamma 90.00
_symmetry_space_group_name_H-M 'P 1'
_symmetry_Int_Tables_number 1
_symmetry_space_group_name_Hall 'P 1'
loop_
_atom_site_label
_atom_site_fract_x
_atom_site_fract_y
_atom_site_fract_z
_atom_site_occupancy
Hf1 0.250 0.122 0.557 1
Hf2 0.750 0.586 0.612 1
Hf3 0.250 0.378 0.057 1
Hf4 0.250 0.086 0.888 1
Hf5 0.250 0.414 0.388 1
Hf6 0.750 0.312 0.783 1
Hf7 0.750 0.914 0.112 1
Hf8 0.250 0.812 0.717 1
Hf9 0.750 0.188 0.283 1
Hf10 0.750 0.622 0.943 1
Hf11 0.250 0.688 0.217 1
Hf12 0.750 0.878 0.443 1
Rh1 0.250 0.507 0.823 1
Rh2 0.750 0.312 0.525 1
Rh3 0.250 0.688 0.475 1
Rh4 0.750 0.188 0.025 1
Rh5 0.250 0.812 0.975 1
Rh6 0.750 0.493 0.177 1
Rh7 0.750 0.007 0.677 1
Rh8 0.250 0.993 0.323 1
Be1 0.750 0.595 0.368 1
Be2 0.750 0.905 0.868 1
Be3 0.250 0.095 0.132 1
Be4 0.250 0.405 0.632 1
```

Results
Its space-group type is No. 62. For the formation energy, the calculation gives -582 meV per atom.



[3]
The following is a GGA-PBE calculation of an optimized crystal structure of LiDySbPd, from Alexandria.

CIF file:
```
data_LiDySbPd
_chemical_formula_sum 'Li1 Dy1 Sb1 Pd1'
_cell_length_a 4.792
_cell_length_b 4.792
_cell_length_c 4.792
_cell_angle_alpha 60.00
_cell_angle_beta 60.00
_cell_angle_gamma 60.00
_symmetry_space_group_name_H-M 'P 1'
_symmetry_Int_Tables_number 1
_symmetry_space_group_name_Hall 'P 1'
loop_
_atom_site_label
_atom_site_fract_x
_atom_site_fract_y
_atom_site_fract_z
_atom_site_occupancy
Pd1 0.500 0.500 0.500 1
Dy1 0.250 0.250 0.250 1
Sb1 0.750 0.750 0.750 1
Li1 0.000 0.000 0.000 1
```

Results
Its space-group type is No. 216. The formation energy without anion corrections comes out at -68.2 kJ per mole of atoms.